[1]
VASP calculation (PBE) on MnZnSi2Hg after structural relaxation.

Cell: 5.009 5.111 5.009 Å, 90.00 90.00 90.00°
Site moments in Bohr magnetons follow the coordinates.
Fractional coordinates of all 5 atoms:
Mn1 0.000 0.500 0.000  4.11
Si1 0.500 0.000 0.000  -0.06
Si2 0.000 0.000 0.500  -0.04
Zn1 0.500 0.500 0.500  0.00
Hg1 0.000 0.000 0.000  -0.01

total energy	-0.112	hartree per atom

---

[2]
VASP calculation (PBE) on ZrMnSi2Hg after structural relaxation.

Cell: 5.104 5.072 5.104 Å, 90.00 90.00 90.00°
Site moments in Bohr magnetons follow the coordinates.
Fractional coordinates of all 5 atoms:
Hg1 0.500 0.500 0.500  -0.03
Si1 0.500 0.000 0.000  0.00
Si2 0.000 0.000 0.500  -0.03
Mn1 0.000 0.500 0.000  3.70
Zr1 0.000 0.000 0.000  -0.37

total energy	-0.175	hartree per atom

---

[3]
VASP calculation (PBE) on MnSnHg3 after structural relaxation.

Cell: 5.044 5.044 5.044 Å, 90.00 90.00 90.00°
Site moments in Bohr magnetons follow the coordinates.
Fractional coordinates of all 5 atoms:
Hg1 0.000 0.000 0.500  0.01
Hg2 0.500 0.000 0.000  -0.05
Hg3 0.000 0.500 0.000  -0.01
Sn1 0.500 0.500 0.500  -0.12
Mn1 0.000 0.000 0.000  3.24

E_form	0.486	eV/atom

---

[4]
VASP calculation (PBE) on Mn2SnHg2 after structural relaxation.

Cell: 7.057 7.057 3.983 Å, 90.00 90.00 90.00°
Site moments in Bohr magnetons follow the coordinates.
Fractional coordinates of all 10 atoms:
Sn1 0.000 0.000 0.000  -0.18
Sn2 0.500 0.500 0.000  -0.18
Mn1 0.643 0.143 0.000  3.38
Mn2 0.357 0.857 0.000  3.38
Mn3 0.857 0.643 0.000  3.38
Mn4 0.143 0.357 0.000  3.38
Hg1 0.155 0.655 0.500  -0.06
Hg2 0.345 0.155 0.500  -0.06
Hg3 0.655 0.845 0.500  -0.06
Hg4 0.845 0.345 0.500  -0.06

E_form	0.323	eV/atom